w) First-principles (PBE-GGA) data for La4SmEr2 after structural relaxation, as listed in the Alexandria database.

```
14
Lattice="6.9856 0.0045 0.0032 3.4975 8.3075 -1.2042 3.4975 1.5657 8.2470" Properties=species:S:1:pos:R:3 pbc="T T T"
La 8.9629 6.6990 1.2135
La 6.9966 8.3696 5.9508
La 10.4814 6.4630 4.5908
La 5.0213 6.6965 1.2117
La 6.9839 1.5081 1.0952
La 5.0177 3.1786 5.8325
La 8.9592 3.1812 5.8343
La 3.4991 3.4146 2.4552
Er 3.4928 0.0022 0.0016
Er 6.9903 4.9388 3.5230
Er 6.9919 8.7508 2.6771
Er 6.9886 1.1268 4.3689
Sm 5.2415 4.1560 -0.6005
Sm 1.7488 4.1538 -0.6021
```

Volume (A^3/atom): 35.11


x) First-principles (PBE-GGA) data for La4SmEr2 after structural relaxation, as listed in the Alexandria database.

```
14
Lattice="12.2584 -3.1562 -1.5699 -9.6116 8.2366 -1.5716 0.0259 0.0487 6.8979" Properties=species:S:1:pos:R:3 pbc="T T T"
Sm 4.2017 1.3802 5.1874
Sm -1.2895 4.2089 1.7385
Er 4.6941 0.6116 1.6575
Er 10.2702 -2.0297 -1.3049
Er -7.5366 7.2772 2.1429
Er -2.1750 4.2217 5.1056
La 1.1267 3.1707 -0.8782
La 7.9344 -0.9293 1.2718
La -0.9086 1.0655 3.8116
La 7.0847 -0.7508 4.5755
La -5.2925 5.9927 4.7191
La -4.6845 5.3489 1.1257
La 1.9631 2.7655 2.5704
La 1.3790 -0.1580 0.3624
```

Volume (A^3/atom): 34.95


Order of stability, best first: x), w)